# 1
A relaxed structure of Mg5HgPb4. Source: Alexandria via LeMat-Bulk, functional GGA-PBE.

Computed properties:
* DFT formation energy: -0.095 eV per atom
* space group: P4/mmm, No. 123
* raw total energy: -24.054 eV per cell
* V: 25.217 Å³ per atom

Unit cell a=3.465 b=3.465 c=21.008 alpha=90.00 beta=90.00 gamma=90.00
Fractional positions:
Mg  0.000  0.000  0.000
Mg  0.000  0.000  0.206
Mg  0.000  0.000  0.415
Mg  0.000  0.000  0.585
Mg  0.000  0.000  0.794
Hg  0.500  0.500  0.500
Pb  0.500  0.500  0.103
Pb  0.500  0.500  0.310
Pb  0.500  0.500  0.690
Pb  0.500  0.500  0.897

---

# 2
A relaxed structure of InIr5. Source: Alexandria via LeMat-Bulk, functional GGA-PBE.

Computed properties:
* DFT formation energy: 0.153 eV per atom
* space group: Amm2, No. 38
* raw total energy: -46.127 eV per cell
* V: 15.451 Å³ per atom

Unit cell a=4.501 b=7.444 c=7.444 alpha=21.82 beta=90.00 gamma=90.00
Fractional positions:
In  0.000  0.000  0.000
Ir  0.000  0.330  0.330
Ir  0.000  0.674  0.674
Ir  0.500  0.220  0.220
Ir  0.500  0.562  0.562
Ir  0.500  0.883  0.883

---

# 3
A relaxed structure of YTiMnBr2. Source: Alexandria via LeMat-Bulk, functional GGA-PBE.

Computed properties:
* space group: P4/mmm, No. 123
* raw total energy: -25.564 eV per cell
* V: 23.605 Å³ per atom
* uncorrected formation energy: 0.2620 eV per atom

Unit cell a=4.973 b=4.973 c=4.772 alpha=90.00 beta=90.00 gamma=90.00
Fractional positions:
Y  0.000  0.000  0.000
Ti  0.500  0.500  0.000
Mn  0.500  0.500  0.500
Br  0.000  0.500  0.500
Br  0.500  0.000  0.500

---

# 4
A relaxed structure of Cs2TaFeCl6. Source: Alexandria via LeMat-Bulk, functional GGA-PBE.

Computed properties:
* space group: I4/mmm, No. 139
* raw total energy: -44.308 eV per cell
* V: 28.989 Å³ per atom
* uncorrected formation energy: -1.1206 eV per atom

Unit cell a=7.705 b=7.705 c=7.705 alpha=125.87 beta=125.87 gamma=80.10
Fractional positions:
Cs  0.250  0.750  0.500
Cs  0.750  0.250  0.500
Ta  0.000  0.000  0.000
Fe  0.500  0.500  0.000
Cl  0.211  0.211  0.000
Cl  0.255  0.255  0.510
Cl  0.255  0.745  0.000
Cl  0.745  0.255  0.000
Cl  0.745  0.745  0.490
Cl  0.789  0.789  0.000

---

# 5
A relaxed structure of Ac3MgGe2Au6. Source: Alexandria via LeMat-Bulk, functional GGA-PBE.

Computed properties:
* DFT formation energy: -0.543 eV per atom
* space group: P-3m1, No. 164
* raw total energy: -49.334 eV per cell
* V: 26.019 Å³ per atom

Unit cell a=6.538 b=6.538 c=8.433 alpha=90.00 beta=90.00 gamma=120.00
Fractional positions:
Ac  0.000  0.000  0.000
Ac  0.333  0.667  0.645
Ac  0.667  0.333  0.355
Mg  0.000  0.000  0.500
Ge  0.333  0.667  0.043
Ge  0.667  0.333  0.957
Au  0.182  0.364  0.288
Au  0.182  0.818  0.288
Au  0.364  0.182  0.712
Au  0.636  0.818  0.288
Au  0.818  0.182  0.712
Au  0.818  0.636  0.712

---

# 6
A relaxed structure of Sm5Y2Mg. Source: Alexandria via LeMat-Bulk, functional GGA-PBE.

Computed properties:
* DFT formation energy: 0.012 eV per atom
* space group: I4/mmm, No. 139
* raw total energy: -38.021 eV per cell
* V: 31.973 Å³ per atom

Unit cell a=7.118 b=7.118 c=7.118 alpha=119.79 beta=119.79 gamma=90.37
Fractional positions:
Sm  0.000  0.000  0.000
Sm  0.000  0.000  0.500
Sm  0.000  0.500  0.000
Sm  0.500  0.000  0.000
Sm  0.500  0.500  0.500
Y  0.000  0.500  0.500
Y  0.500  0.000  0.500
Mg  0.500  0.500  0.000